1.
# PBE Dy3Th4, optimized geometry
# Energy in eV/cell: -86.50
# Volume in Å³/atom: 32.098
# DFT formation energy in eV/atom: 0.034
# M_tot in μB per cell: 0.0
data_Dy3Th4
_chemical_formula_sum 'Dy6 Th8'
_cell_length_a 3.5756
_cell_length_b 3.5756
_cell_length_c 35.1477
_cell_angle_alpha 90.00
_cell_angle_beta 90.00
_cell_angle_gamma 90.00
_symmetry_space_group_name_H-M 'I 4/m m m'
_symmetry_Int_Tables_number 139
_symmetry_space_group_name_Hall '-I 4 2'
loop_
_atom_site_label
_atom_site_fract_x
_atom_site_fract_y
_atom_site_fract_z
_atom_site_occupancy
Dy1 0.0000 0.0000 0.0000 1
Dy2 0.0000 0.0000 0.2870 1
Th1 0.0000 0.0000 0.1424 1
Th2 0.0000 0.0000 0.4276 1



2.
# PBE RbCoSb2Ru, optimized geometry
# Energy in eV/cell: -23.28
# Volume in Å³/atom: 26.950
# Formation energy without anion corrections in eV/atom: 0.463
# M_tot in μB per cell: 2.1
data_RbCoSb2Ru
_chemical_formula_sum 'Rb1 Co1 Sb2 Ru1'
_cell_length_a 5.1369
_cell_length_b 5.1369
_cell_length_c 5.1065
_cell_angle_alpha 90.00
_cell_angle_beta 90.00
_cell_angle_gamma 90.00
_symmetry_space_group_name_H-M 'P 4/m m m'
_symmetry_Int_Tables_number 123
_symmetry_space_group_name_Hall '-P 4 2'
loop_
_atom_site_label
_atom_site_fract_x
_atom_site_fract_y
_atom_site_fract_z
_atom_site_occupancy
Rb1 0.0000 0.0000 0.0000 1
Co1 0.5000 0.5000 0.0000 1
Sb1 0.0000 0.5000 0.5000 1
Ru1 0.5000 0.5000 0.5000 1



3.
# PBE TaTlPb2, optimized geometry
# Energy above the lowest structure with this stoichiometry in meV/atom: 220
# Energy in eV/cell: -19.46
# Volume in Å³/atom: 25.220
# DFT formation energy in eV/atom: 0.545
# M_tot in μB per cell: 0.0
data_TaTlPb2
_chemical_formula_sum 'Ta1 Tl1 Pb2'
_cell_length_a 3.3291
_cell_length_b 5.1697
_cell_length_c 6.0918
_cell_angle_alpha 90.00
_cell_angle_beta 105.80
_cell_angle_gamma 90.00
_symmetry_space_group_name_H-M 'P 1 m 1'
_symmetry_Int_Tables_number 6
_symmetry_space_group_name_Hall 'P -2y'
loop_
_atom_site_label
_atom_site_fract_x
_atom_site_fract_y
_atom_site_fract_z
_atom_site_occupancy
Ta1 0.0000 0.0000 0.0000 1
Tl1 0.1391 0.5000 0.2751 1
Pb1 0.4069 0.5000 0.8091 1
Pb2 0.7308 0.0000 0.4607 1



4.
# PBE TlSiO2, optimized geometry
# Energy above the lowest structure with this stoichiometry in meV/atom: 634
# Energy in eV/cell: -64.60
# Volume in Å³/atom: 18.234
# Formation energy without anion corrections in eV/atom: -0.957
# M_tot in μB per cell: 0.0
data_TlSiO2
_chemical_formula_sum 'Tl3 Si3 O6'
_cell_length_a 3.4755
_cell_length_b 3.4755
_cell_length_c 20.9175
_cell_angle_alpha 90.00
_cell_angle_beta 90.00
_cell_angle_gamma 120.00
_symmetry_space_group_name_H-M 'R -3 m'
_symmetry_Int_Tables_number 166
_symmetry_space_group_name_Hall '-R 3 2"'
loop_
_atom_site_label
_atom_site_fract_x
_atom_site_fract_y
_atom_site_fract_z
_atom_site_occupancy
Tl1 0.0000 0.0000 0.0000 1
Si1 0.0000 0.0000 0.5000 1
O1 0.0000 0.0000 0.4251 1



What did the second record say?
# PBE RbCoSb2Ru, optimized geometry
# Energy in eV/cell: -23.28
# Volume in Å³/atom: 26.950
# Formation energy without anion corrections in eV/atom: 0.463
# M_tot in μB per cell: 2.1
data_RbCoSb2Ru
_chemical_formula_sum 'Rb1 Co1 Sb2 Ru1'
_cell_length_a 5.1369
_cell_length_b 5.1369
_cell_length_c 5.1065
_cell_angle_alpha 90.00
_cell_angle_beta 90.00
_cell_angle_gamma 90.00
_symmetry_space_group_name_H-M 'P 4/m m m'
_symmetry_Int_Tables_number 123
_symmetry_space_group_name_Hall '-P 4 2'
loop_
_atom_site_label
_atom_site_fract_x
_atom_site_fract_y
_atom_site_fract_z
_atom_site_occupancy
Rb1 0.0000 0.0000 0.0000 1
Co1 0.5000 0.5000 0.0000 1
Sb1 0.0000 0.5000 0.5000 1
Ru1 0.5000 0.5000 0.5000 1



Copy entry 3 word for word.
# PBE TaTlPb2, optimized geometry
# Energy above the lowest structure with this stoichiometry in meV/atom: 220
# Energy in eV/cell: -19.46
# Volume in Å³/atom: 25.220
# DFT formation energy in eV/atom: 0.545
# M_tot in μB per cell: 0.0
data_TaTlPb2
_chemical_formula_sum 'Ta1 Tl1 Pb2'
_cell_length_a 3.3291
_cell_length_b 5.1697
_cell_length_c 6.0918
_cell_angle_alpha 90.00
_cell_angle_beta 105.80
_cell_angle_gamma 90.00
_symmetry_space_group_name_H-M 'P 1 m 1'
_symmetry_Int_Tables_number 6
_symmetry_space_group_name_Hall 'P -2y'
loop_
_atom_site_label
_atom_site_fract_x
_atom_site_fract_y
_atom_site_fract_z
_atom_site_occupancy
Ta1 0.0000 0.0000 0.0000 1
Tl1 0.1391 0.5000 0.2751 1
Pb1 0.4069 0.5000 0.8091 1
Pb2 0.7308 0.0000 0.4607 1